# 1
This record from Alexandria via LeMat-Bulk describes crystalline BaNbRe2O at its relaxed geometry. The functional is GGA-PBE.

Cell and atoms, written as CIF:
```
data_BaNbRe2O
_chemical_formula_sum 'Ba1 Nb1 Re2 O1'
_cell_length_a 4.166
_cell_length_b 4.166
_cell_length_c 5.084
_cell_angle_alpha 90.00
_cell_angle_beta 90.00
_cell_angle_gamma 90.00
_symmetry_space_group_name_H-M 'P 1'
_symmetry_Int_Tables_number 1
loop_
_symmetry_equiv_pos_as_xyz
'x,y,z'
loop_
_atom_site_label
_atom_site_type_symbol
_atom_site_fract_x
_atom_site_fract_y
_atom_site_fract_z
Ba1 Ba 0.000 0.000 0.000
Nb1 Nb 0.500 0.500 0.000
Re1 Re 0.000 0.500 0.500
Re2 Re 0.500 0.000 0.500
O1 O 0.000 0.000 0.500
```

Formation energy (no corrections): 0.794 eV/atom
Total DFT energy (no corrections): -7.58 eV per atom
Space-group type: P4/mmm (123)
Crystal system: tetragonal



# 2
This record from Alexandria via LeMat-Bulk describes crystalline Ba2NbRh3O12 at its relaxed geometry. The functional is GGA-PBE.

Cell and atoms, written as CIF:
```
data_Ba2NbRh3O12
_chemical_formula_sum 'Ba2 Nb1 Rh3 O12'
_cell_length_a 7.299
_cell_length_b 7.299
_cell_length_c 7.299
_cell_angle_alpha 58.16
_cell_angle_beta 58.16
_cell_angle_gamma 58.16
_symmetry_space_group_name_H-M 'P 1'
_symmetry_Int_Tables_number 1
loop_
_symmetry_equiv_pos_as_xyz
'x,y,z'
loop_
_atom_site_label
_atom_site_type_symbol
_atom_site_fract_x
_atom_site_fract_y
_atom_site_fract_z
Ba1 Ba 0.119 0.119 0.119
Ba2 Ba 0.881 0.881 0.881
Nb1 Nb 0.500 0.500 0.500
Rh1 Rh 0.000 0.500 0.500
Rh2 Rh 0.500 0.000 0.500
Rh3 Rh 0.500 0.500 0.000
O1 O 0.165 0.581 0.581
O2 O 0.174 0.174 0.589
O3 O 0.174 0.589 0.174
O4 O 0.411 0.826 0.826
O5 O 0.419 0.419 0.835
O6 O 0.419 0.835 0.419
O7 O 0.581 0.165 0.581
O8 O 0.581 0.581 0.165
O9 O 0.589 0.174 0.174
O10 O 0.826 0.411 0.826
O11 O 0.826 0.826 0.411
O12 O 0.835 0.419 0.419
```

Formation energy (no corrections): -1.428 eV/atom
Total DFT energy (no corrections): -6.73 eV per atom
Space-group type: R-3m (166)
Crystal system: trigonal



# 3
This record from Alexandria via LeMat-Bulk describes crystalline BaNbRuO6 at its relaxed geometry. The functional is GGA-PBE.

Cell and atoms, written as CIF:
```
data_BaNbRuO6
_chemical_formula_sum 'Ba2 Nb2 Ru2 O12'
_cell_length_a 7.343
_cell_length_b 7.343
_cell_length_c 7.343
_cell_angle_alpha 122.15
_cell_angle_beta 118.89
_cell_angle_gamma 89.13
_symmetry_space_group_name_H-M 'P 1'
_symmetry_Int_Tables_number 1
loop_
_symmetry_equiv_pos_as_xyz
'x,y,z'
loop_
_atom_site_label
_atom_site_type_symbol
_atom_site_fract_x
_atom_site_fract_y
_atom_site_fract_z
Ba1 Ba 0.327 0.077 0.250
Ba2 Ba 0.673 0.923 0.750
Nb1 Nb 0.000 0.500 0.500
Nb2 Nb 0.500 0.500 0.000
Ru1 Ru 0.000 0.000 0.500
Ru2 Ru 0.000 0.500 0.000
O1 O 0.058 0.408 0.226
O2 O 0.058 0.831 0.649
O3 O 0.059 0.809 0.250
O4 O 0.318 0.169 0.726
O5 O 0.318 0.592 0.149
O6 O 0.320 0.570 0.750
O7 O 0.680 0.430 0.250
O8 O 0.682 0.408 0.851
O9 O 0.682 0.831 0.274
O10 O 0.941 0.191 0.750
O11 O 0.942 0.169 0.351
O12 O 0.942 0.592 0.774
```

Formation energy (no corrections): -1.947 eV/atom
Total DFT energy (no corrections): -7.62 eV per atom
Space-group type: Imma (74)
Crystal system: orthorhombic



# 4
This record from Alexandria via LeMat-Bulk describes crystalline Ba2NbRu3O12 at its relaxed geometry. The functional is GGA-PBE.

Cell and atoms, written as CIF:
```
data_Ba2NbRu3O12
_chemical_formula_sum 'Ba2 Nb1 Ru3 O12'
_cell_length_a 7.385
_cell_length_b 7.385
_cell_length_c 7.385
_cell_angle_alpha 58.53
_cell_angle_beta 58.53
_cell_angle_gamma 58.53
_symmetry_space_group_name_H-M 'P 1'
_symmetry_Int_Tables_number 1
loop_
_symmetry_equiv_pos_as_xyz
'x,y,z'
loop_
_atom_site_label
_atom_site_type_symbol
_atom_site_fract_x
_atom_site_fract_y
_atom_site_fract_z
Ba1 Ba 0.167 0.167 0.167
Ba2 Ba 0.833 0.833 0.833
Nb1 Nb 0.500 0.500 0.500
Ru1 Ru 0.000 0.500 0.500
Ru2 Ru 0.500 0.000 0.500
Ru3 Ru 0.500 0.500 0.000
O1 O 0.168 0.578 0.578
O2 O 0.191 0.191 0.570
O3 O 0.191 0.570 0.191
O4 O 0.422 0.422 0.832
O5 O 0.422 0.832 0.422
O6 O 0.430 0.809 0.809
O7 O 0.570 0.191 0.191
O8 O 0.578 0.168 0.578
O9 O 0.578 0.578 0.168
O10 O 0.809 0.430 0.809
O11 O 0.809 0.809 0.430
O12 O 0.832 0.422 0.422
```

Formation energy (no corrections): -1.622 eV/atom
Total DFT energy (no corrections): -7.25 eV per atom
Space-group type: R-3m (166)
Crystal system: trigonal



# 5
This record from Alexandria via LeMat-Bulk describes crystalline BaNbRu2O8 at its relaxed geometry. The functional is GGA-PBE.

Cell and atoms, written as CIF:
```
data_BaNbRu2O8
_chemical_formula_sum 'Ba1 Nb1 Ru2 O8'
_cell_length_a 5.708
_cell_length_b 5.708
_cell_length_c 7.376
_cell_angle_alpha 90.00
_cell_angle_beta 90.00
_cell_angle_gamma 120.00
_symmetry_space_group_name_H-M 'P 1'
_symmetry_Int_Tables_number 1
loop_
_symmetry_equiv_pos_as_xyz
'x,y,z'
loop_
_atom_site_label
_atom_site_type_symbol
_atom_site_fract_x
_atom_site_fract_y
_atom_site_fract_z
Ba1 Ba 0.000 0.000 0.000
Nb1 Nb 0.000 0.000 0.500
Ru1 Ru 0.333 0.667 0.754
Ru2 Ru 0.667 0.333 0.246
O1 O 0.109 0.314 0.670
O2 O 0.205 0.891 0.670
O3 O 0.314 0.205 0.330
O4 O 0.333 0.667 0.996
O5 O 0.667 0.333 0.004
O6 O 0.686 0.795 0.670
O7 O 0.795 0.109 0.330
O8 O 0.891 0.686 0.330
```

Formation energy (no corrections): -1.506 eV/atom
Total DFT energy (no corrections): -7.36 eV per atom
Space-group type: P-3 (147)
Crystal system: trigonal



# 6
This record from Alexandria via LeMat-Bulk describes crystalline Ba6Nb4S13O3 at its relaxed geometry. The functional is GGA-PBE.

Cell and atoms, written as CIF:
```
data_Ba6Nb4S13O3
_chemical_formula_sum 'Ba24 Nb16 S52 O12'
_cell_length_a 24.631
_cell_length_b 14.494
_cell_length_c 7.951
_cell_angle_alpha 90.00
_cell_angle_beta 90.00
_cell_angle_gamma 90.00
_symmetry_space_group_name_H-M 'P 1'
_symmetry_Int_Tables_number 1
loop_
_symmetry_equiv_pos_as_xyz
'x,y,z'
loop_
_atom_site_label
_atom_site_type_symbol
_atom_site_fract_x
_atom_site_fract_y
_atom_site_fract_z
Ba1 Ba 0.052 0.250 0.103
Ba2 Ba 0.082 0.014 0.732
Ba3 Ba 0.082 0.486 0.732
Ba4 Ba 0.158 0.750 0.239
Ba5 Ba 0.225 0.082 0.097
Ba6 Ba 0.225 0.418 0.097
Ba7 Ba 0.275 0.582 0.597
Ba8 Ba 0.275 0.918 0.597
Ba9 Ba 0.342 0.250 0.739
Ba10 Ba 0.418 0.514 0.232
Ba11 Ba 0.418 0.986 0.232
Ba12 Ba 0.448 0.750 0.603
Ba13 Ba 0.552 0.250 0.397
Ba14 Ba 0.582 0.014 0.768
Ba15 Ba 0.582 0.486 0.768
Ba16 Ba 0.658 0.750 0.261
Ba17 Ba 0.725 0.082 0.403
Ba18 Ba 0.725 0.418 0.403
Ba19 Ba 0.775 0.582 0.903
Ba20 Ba 0.775 0.918 0.903
Ba21 Ba 0.842 0.250 0.761
Ba22 Ba 0.918 0.514 0.268
Ba23 Ba 0.918 0.986 0.268
Ba24 Ba 0.948 0.750 0.897
Nb1 Nb 0.084 0.004 0.216
Nb2 Nb 0.084 0.496 0.216
Nb3 Nb 0.165 0.750 0.721
Nb4 Nb 0.171 0.250 0.603
Nb5 Nb 0.329 0.750 0.103
Nb6 Nb 0.335 0.250 0.221
Nb7 Nb 0.416 0.504 0.716
Nb8 Nb 0.416 0.996 0.716
Nb9 Nb 0.584 0.004 0.284
Nb10 Nb 0.584 0.496 0.284
Nb11 Nb 0.665 0.750 0.779
Nb12 Nb 0.671 0.250 0.897
Nb13 Nb 0.829 0.750 0.397
Nb14 Nb 0.835 0.250 0.279
Nb15 Nb 0.916 0.504 0.784
Nb16 Nb 0.916 0.996 0.784
S1 S 0.027 0.093 0.377
S2 S 0.027 0.407 0.377
S3 S 0.038 0.616 0.096
S4 S 0.038 0.884 0.096
S5 S 0.082 0.750 0.600
S6 S 0.085 0.250 0.706
S7 S 0.157 0.541 0.380
S8 S 0.157 0.959 0.380
S9 S 0.169 0.250 0.313
S10 S 0.179 0.618 0.881
S11 S 0.179 0.882 0.881
S12 S 0.214 0.120 0.702
S13 S 0.214 0.380 0.702
S14 S 0.286 0.620 0.202
S15 S 0.286 0.880 0.202
S16 S 0.321 0.118 0.381
S17 S 0.321 0.382 0.381
S18 S 0.331 0.750 0.813
S19 S 0.343 0.041 0.880
S20 S 0.343 0.459 0.880
S21 S 0.415 0.750 0.206
S22 S 0.418 0.250 0.100
S23 S 0.462 0.116 0.596
S24 S 0.462 0.384 0.596
S25 S 0.473 0.593 0.877
S26 S 0.473 0.907 0.877
S27 S 0.527 0.093 0.123
S28 S 0.527 0.407 0.123
S29 S 0.538 0.616 0.404
S30 S 0.538 0.884 0.404
S31 S 0.582 0.750 0.900
S32 S 0.585 0.250 0.794
S33 S 0.657 0.541 0.120
S34 S 0.657 0.959 0.120
S35 S 0.669 0.250 0.187
S36 S 0.679 0.618 0.619
S37 S 0.679 0.882 0.619
S38 S 0.714 0.120 0.798
S39 S 0.714 0.380 0.798
S40 S 0.786 0.620 0.298
S41 S 0.786 0.880 0.298
S42 S 0.821 0.118 0.119
S43 S 0.821 0.382 0.119
S44 S 0.831 0.750 0.687
S45 S 0.843 0.041 0.620
S46 S 0.843 0.459 0.620
S47 S 0.915 0.750 0.294
S48 S 0.918 0.250 0.400
S49 S 0.962 0.116 0.904
S50 S 0.962 0.384 0.904
S51 S 0.973 0.593 0.623
S52 S 0.973 0.907 0.623
O1 O 0.109 0.081 0.047
O2 O 0.109 0.419 0.047
O3 O 0.215 0.750 0.548
O4 O 0.285 0.250 0.048
O5 O 0.391 0.581 0.547
O6 O 0.391 0.919 0.547
O7 O 0.609 0.081 0.453
O8 O 0.609 0.419 0.453
O9 O 0.715 0.750 0.952
O10 O 0.785 0.250 0.452
O11 O 0.891 0.581 0.953
O12 O 0.891 0.919 0.953
```

Formation energy (no corrections): -1.795 eV/atom
Total DFT energy (no corrections): -6.42 eV per atom
Space-group type: Pnma (62)
Crystal system: orthorhombic



# 7
This record from Alexandria via LeMat-Bulk describes crystalline BaNbSO2 at its relaxed geometry. The functional is GGA-PBE.

Cell and atoms, written as CIF:
```
data_BaNbSO2
_chemical_formula_sum 'Ba1 Nb1 S1 O2'
_cell_length_a 4.204
_cell_length_b 4.204
_cell_length_c 5.047
_cell_angle_alpha 90.00
_cell_angle_beta 90.00
_cell_angle_gamma 90.00
_symmetry_space_group_name_H-M 'P 1'
_symmetry_Int_Tables_number 1
loop_
_symmetry_equiv_pos_as_xyz
'x,y,z'
loop_
_atom_site_label
_atom_site_type_symbol
_atom_site_fract_x
_atom_site_fract_y
_atom_site_fract_z
Ba1 Ba 0.000 0.000 0.000
Nb1 Nb 0.500 0.500 0.395
S1 S 0.500 0.500 0.881
O1 O 0.000 0.500 0.380
O2 O 0.500 0.000 0.380
```

Formation energy (no corrections): -2.189 eV/atom
Total DFT energy (no corrections): -7.40 eV per atom
Space-group type: P4mm (99)
Crystal system: tetragonal



# 8
This record from Alexandria via LeMat-Bulk describes crystalline BaNbS2O8 at its relaxed geometry. The functional is GGA-PBE.

Cell and atoms, written as CIF:
```
data_BaNbS2O8
_chemical_formula_sum 'Ba1 Nb1 S2 O8'
_cell_length_a 5.130
_cell_length_b 5.130
_cell_length_c 8.001
_cell_angle_alpha 90.00
_cell_angle_beta 90.00
_cell_angle_gamma 120.00
_symmetry_space_group_name_H-M 'P 1'
_symmetry_Int_Tables_number 1
loop_
_symmetry_equiv_pos_as_xyz
'x,y,z'
loop_
_atom_site_label
_atom_site_type_symbol
_atom_site_fract_x
_atom_site_fract_y
_atom_site_fract_z
Ba1 Ba 0.000 0.000 0.000
Nb1 Nb 0.000 0.000 0.500
S1 S 0.333 0.667 0.750
S2 S 0.667 0.333 0.250
O1 O 0.100 0.361 0.693
O2 O 0.261 0.900 0.693
O3 O 0.333 0.667 0.937
O4 O 0.361 0.261 0.307
O5 O 0.639 0.739 0.693
O6 O 0.667 0.333 0.063
O7 O 0.739 0.100 0.307
O8 O 0.900 0.639 0.307
```

Formation energy (no corrections): -1.711 eV/atom
Total DFT energy (no corrections): -6.70 eV per atom
Space-group type: P-3 (147)
Crystal system: trigonal